# 1
# Li5Ag4

A relaxed Li5Ag4 crystal (GGA-PBE, Alexandria via LeMat-Bulk).

Properties
raw total energy: -22.6 eV per cell
calculated volume: 150.6 Å³ per cell
calculated formation energy: -0.183 eV per atom
offset from the most stable computed form: 0 meV per atom

The structure in POSCAR format:
```
Li5Ag4
1.0
4.022 0.017 0.015
2.040 6.113 -0.422
2.040 0.387 6.115
Ag Li
4 5
direct
0.334 0.001 0.334
0.666 0.332 0.332
0.334 0.668 0.668
0.666 0.666 0.999
0.321 0.345 0.012
0.679 0.988 0.655
0.000 0.988 0.012
0.000 0.346 0.654
0.000 0.667 0.333
```

---

# 2
# Tl2Zn2Ga

A relaxed Tl2Zn2Ga crystal (GGA-PBE, Alexandria via LeMat-Bulk).

Properties
raw total energy: -18.2 eV per cell
calculated volume: 239.5 Å³ per cell
calculated formation energy: 0.241 eV per atom
offset from the most stable computed form: 120 meV per atom

The structure in POSCAR format:
```
Tl2Zn2Ga
1.0
8.412 0.000 0.000
0.000 8.412 0.000
0.000 0.000 3.384
Zn Ga Tl
4 2 4
direct
0.388 0.112 0.500
0.888 0.388 0.500
0.612 0.888 0.500
0.112 0.612 0.500
0.500 0.500 0.000
0.000 0.000 0.000
0.314 0.814 0.000
0.186 0.314 0.000
0.814 0.686 0.000
0.686 0.186 0.000
```

---

# 3
# DyErTl2S4

A relaxed DyErTl2S4 crystal (GGA-PBE, Alexandria via LeMat-Bulk).

Properties
raw total energy: -42.3 eV per cell
calculated volume: 209.8 Å³ per cell

The structure in POSCAR format:
```
DyErTl2S4
1.0
-0.821 3.688 -1.350
-5.887 -2.354 -2.850
-1.732 2.297 7.327
S Dy Tl Er
4 1 2 1
direct
0.000 0.266 0.803
0.500 0.770 0.804
0.500 0.230 0.196
0.000 0.734 0.197
0.500 0.500 0.000
0.500 0.000 0.500
0.000 0.500 0.500
0.000 0.000 0.000
```